Record 1
TcNi2Pd | PBE-GGA | relaxed

POSCAR file:
```
TcNi2Pd
1.0
-1.209 -1.712 1.599
2.340 -0.793 0.919
-0.327 5.190 5.310
Tc Ni Pd
1 2 1
Direct
0.500 0.500 0.500 Tc
0.000 0.000 0.741 Ni
0.000 0.000 0.259 Ni
0.500 0.500 0.000 Pd
```

Magnetization, μB/cell: 0.000
ΔH_f (0 K), eV per atom: -0.0180
Crystal system: tetragonal
DOS at the Fermi energy, states/eV/f.u.: 3.654
ΔE to the lowest computed polymorph, eV/f.u.: 0.000



Record 2
HgHPd | PBE-GGA | relaxed

POSCAR file:
```
HgHPd
1.0
-1.881 -0.913 -2.317
3.070 1.717 -3.175
0.619 -8.251 4.789
Hg Pd H
2 2 2
Direct
0.403 0.292 0.813 Hg
0.597 0.708 0.187 Hg
0.752 0.757 0.504 Pd
0.248 0.243 0.496 Pd
0.211 0.514 0.419 H
0.789 0.486 0.581 H
```

Magnetization, μB/cell: 0.000
Crystal system: triclinic
DOS at the Fermi energy, states/eV/f.u.: 0.425
ΔE to the lowest computed polymorph, eV/f.u.: 0.016



Record 3
Tb6Ce2Dy3Tm | PBE-GGA | relaxed

POSCAR file:
```
Tb6Ce2Dy3Tm
1.0
6.132 0.000 0.002
-3.065 5.311 0.002
-1.026 -1.777 11.567
Dy Tm Ce Tb
3 1 2 6
Direct
0.500 0.500 0.500 Dy
0.166 0.834 0.500 Dy
0.834 0.166 0.500 Dy
0.000 0.000 0.000 Tm
0.666 0.334 0.000 Ce
0.334 0.666 0.000 Ce
0.582 0.917 0.751 Tb
0.251 0.251 0.751 Tb
0.917 0.582 0.751 Tb
0.083 0.418 0.249 Tb
0.749 0.749 0.249 Tb
0.418 0.083 0.249 Tb
```

Magnetization, μB/cell: 1.906
ΔH_f (0 K), eV per atom: 0.0463
Crystal system: monoclinic
DOS at the Fermi energy, states/eV/f.u.: 21.821



Record 4
TbSi2Pd3 | PBE-GGA | relaxed

POSCAR file:
```
TbSi2Pd3
1.0
-0.616 2.315 3.192
-5.094 3.260 -5.841
-4.793 -7.419 4.454
Pd Si Tb
9 6 3
Direct
0.500 0.000 0.500 Pd
0.779 0.559 0.608 Pd
0.321 0.642 0.039 Pd
0.624 0.247 0.198 Pd
0.679 0.358 0.961 Pd
0.221 0.441 0.392 Pd
0.041 0.082 0.330 Pd
0.959 0.918 0.670 Pd
0.376 0.753 0.802 Pd
0.364 0.728 0.551 Si
0.463 0.926 0.221 Si
0.200 0.399 0.131 Si
0.636 0.272 0.449 Si
0.537 0.074 0.779 Si
0.800 0.601 0.869 Si
0.154 0.307 0.693 Tb
0.000 0.000 0.000 Tb
0.846 0.693 0.307 Tb
```

Formation energy without anion corrections, kJ per mole of atoms: -85.9
Magnetization, μB/cell: 0.000
Crystal system: monoclinic
DOS at the Fermi energy, states/eV/f.u.: 2.968



Record 5
Sb2PbSe | PBE-GGA | relaxed

POSCAR file:
```
Sb2PbSe
1.0
6.125 0.000 0.000
0.000 6.125 0.000
3.062 3.062 8.029
Pb Se Sb
2 2 4
Direct
0.750 0.250 0.500 Pb
0.000 0.000 0.000 Pb
0.500 0.500 0.000 Se
0.250 0.750 0.500 Se
0.375 0.422 0.750 Sb
0.578 0.125 0.250 Sb
0.875 0.828 0.750 Sb
0.172 0.625 0.250 Sb
```

Formation energy without anion corrections, kJ per mole of atoms: 18.7
Magnetization, μB/cell: 0.000
Crystal system: tetragonal
DOS at the Fermi energy, states/eV/f.u.: 2.239
ΔE to the lowest computed polymorph, eV/f.u.: 1.647



Record 6
Be4C3 | PBE-GGA | relaxed

POSCAR file:
```
Be4C3
1.0
1.801 -3.119 0.000
1.801 3.119 0.000
0.000 0.000 4.356
Be C
4 3
Direct
0.667 0.333 0.500 Be
0.000 0.000 0.267 Be
0.000 0.000 0.733 Be
0.333 0.667 0.500 Be
0.500 0.000 0.000 C
0.000 0.500 0.000 C
0.500 0.500 0.000 C
```

Magnetization, μB/cell: 0.000
ΔH_f (0 K), eV per atom: 1.4943
Crystal system: hexagonal
DOS at the Fermi energy, states/eV/f.u.: 0.667
ΔE to the lowest computed polymorph, eV/f.u.: 5.224



Record 7
NaMgIrRh2 | PBE-GGA | relaxed

POSCAR file:
```
NaMgIrRh2
1.0
4.507 0.000 0.000
0.000 4.365 0.000
0.000 0.000 4.507
Rh Na Mg Ir
2 1 1 1
Direct
0.500 0.000 0.000 Rh
0.000 0.000 0.500 Rh
0.000 0.500 0.000 Na
0.000 0.000 0.000 Mg
0.500 0.500 0.500 Ir
```

Magnetization, μB/cell: 0.021
ΔH_f (0 K), eV per atom: 1.3047
Crystal system: tetragonal
DOS at the Fermi energy, states/eV/f.u.: 6.006



Record 8
PuMnP3 | PBE-GGA | relaxed

POSCAR file:
```
PuMnP3
1.0
-3.251 0.624 4.192
-2.308 -4.380 -1.139
7.517 -5.697 6.677
P Mn Pu
12 4 4
Direct
0.000 0.750 0.501 P
0.750 0.006 0.800 P
0.500 0.250 0.499 P
0.500 0.750 0.501 P
0.750 0.506 0.200 P
0.750 0.881 0.070 P
0.250 0.619 0.070 P
0.000 0.250 0.499 P
0.250 0.494 0.800 P
0.250 0.994 0.200 P
0.250 0.119 0.930 P
0.750 0.381 0.930 P
0.500 0.750 0.922 Mn
0.000 0.250 0.078 Mn
0.500 0.250 0.078 Mn
0.000 0.750 0.922 Mn
0.750 0.500 0.691 Pu
0.750 0.000 0.309 Pu
0.250 0.500 0.309 Pu
0.250 0.000 0.691 Pu
```

Magnetization, μB/cell: 21.033
ΔH_f (0 K), eV per atom: -0.7059
Crystal system: orthorhombic
DOS at the Fermi energy, states/eV/f.u.: 7.578